Record 1
Material: K3ZrNp2S6
Method: DFT, PBE
State: relaxed

The structure belongs to space group C2/m (No. 12); the cell edges are 6.892, 11.938 and 7.748 Å and the angles 90.00°, 107.27° and 90.00°. The distinct sites, in fractional coordinates, are K at (0.000, 0.000, 0.000), K at (0.000, 0.332, 0.000), Zr at (0.000, 0.500, 0.500), Np at (0.000, 0.167, 0.500), S at (0.228, 0.339, 0.701) and S at (0.246, 0.000, 0.701).

The value obtained for the energy relative to the elements, uncorrected is -1.43 eV per atom.

***

Record 2
Material: Ho2Cd2Ir
Method: DFT, PBE
State: relaxed

The structure belongs to space group I4/mmm (No. 139); the cell edges are 3.415, 3.415 and 19.716 Å and the angles 90.00°, 90.00° and 90.00°. The distinct sites, in fractional coordinates, are Ho at (0.000, 0.000, 0.085), Cd at (0.000, 0.000, 0.298) and Ir at (0.000, 0.000, 0.500).

The calculation puts the formation energy at -0.525 eV/atom.

***

Record 3
Material: Li2ReBr
Method: DFT, PBE
State: relaxed

The structure belongs to space group I-4m2 (No. 119); the cell edges are 3.671, 3.671 and 8.740 Å and the angles 90.00°, 90.00° and 90.00°. The distinct sites, in fractional coordinates, are Li at (0.000, 0.000, 0.000), Li at (0.000, 0.500, 0.250), Re at (0.000, 0.500, 0.750) and Br at (0.000, 0.000, 0.500).

The distance to the lowest polymorph of the same formula is 55.4 kJ/mol of atoms. The value obtained for the energy relative to the elements, uncorrected is 0.68 eV per atom.

***

Record 4
Material: AsOF2
Method: DFT, PBE
State: relaxed

The structure belongs to space group R-3m (No. 166, hexagonal axes); the cell edges are 2.8916, 2.8916 and 25.0753 Å and the angles 90.00°, 90.00° and 120.00°. The distinct sites, in fractional coordinates, are As at (0.0000, 0.0000, 0.0000), O at (0.0000, 0.0000, 0.5000) and F at (0.0000, 0.0000, 0.0731).

The distance to the lowest polymorph of the same formula is 128.8 kJ/mol of atoms. The value obtained for the energy relative to the elements, uncorrected is -0.28 eV per atom.

***

Record 5
Material: Al3ZnAu6
Method: DFT, PBE
State: relaxed

The structure belongs to space group P2_1/m (No. 11); the cell edges are 9.008, 4.075 and 10.743 Å and the angles 90.00°, 112.76° and 90.00°. The distinct sites, in fractional coordinates, are Al at (0.115, 0.250, 0.125), Al at (0.172, 0.750, 0.535), Al at (0.379, 0.250, 0.007), Zn at (0.462, 0.250, 0.316), Au at (0.043, 0.250, 0.364), Au at (0.077, 0.250, 0.877), Au at (0.255, 0.750, 0.300), Au at (0.281, 0.750, 0.811), Au at (0.372, 0.250, 0.534) and Au at (0.482, 0.750, 0.165).

The calculation puts the formation energy at -0.265 eV/atom.

***

Record 6
Material: NaSiPO2
Method: DFT, PBE
State: relaxed

The structure belongs to space group P4/mmm (No. 123); the cell edges are 3.554, 3.554 and 5.063 Å and the angles 90.00°, 90.00° and 90.00°. The distinct sites, in fractional coordinates, are Na at (0.000, 0.000, 0.000), Si at (0.500, 0.500, 0.500), P at (0.500, 0.500, 0.000) and O at (0.000, 0.500, 0.500).

The distance to the lowest polymorph of the same formula is 0.0 kJ/mol of atoms. The value obtained for the energy relative to the elements, uncorrected is -0.79 eV per atom.